a:
The following is a DFT calculation (PBE) of ThInPb after structural relaxation.

abc: 5.0710 5.8488 6.6022
angles: 116.29 90.00 90.00
Fractional coordinates of all 6 atoms:
In: 0.7500 0.0682 0.6365
Th: 0.2500 0.2453 0.9905
Pb: 0.7500 0.4224 0.3448
Th: 0.7500 0.7547 0.0095
Pb: 0.2500 0.5776 0.6552
In: 0.2500 0.9318 0.3635

Space group: Cmcm (63)
Spin magnetization, μB/cell: 0.00

=====

b:
The following is a DFT calculation (PBE) of ThInPb after structural relaxation.

abc: 4.5438 4.6296 8.6925
angles: 105.44 90.00 90.00
Fractional coordinates of all 6 atoms:
In: 0.7500 0.2505 0.5010
Pb: 0.2500 0.4263 0.8526
Th: 0.2500 0.0951 0.1902
In: 0.2500 0.7495 0.4990
Th: 0.7500 0.9049 0.8098
Pb: 0.7500 0.5737 0.1474

Space group: Cmcm (63)
Spin magnetization, μB/cell: 0.00

=====

Which of them is least stable? Easy: a.